Record 1
## HoAlGaAg (GGA-PBE)

Data for an optimized crystal structure of HoAlGaAg.

Cell and atoms, written as POSCAR:
```
HoAlGaAg
1.0
0.0000 3.4059 3.4059
3.4059 0.0000 3.4059
3.4059 3.4059 0.0000
Ho Al Ga Ag
1 1 1 1
direct
0.0000 0.0000 0.0000 Ho
0.5000 0.5000 0.5000 Al
0.7500 0.7500 0.7500 Ga
0.2500 0.2500 0.2500 Ag
```

## Properties
* energy relative to the elements: -7.56 kcal/mol of atoms
* symmetry: F-43m, No. 216
* VASP energy: -3.8774 eV per atom

Record 2
## Sm3As5Rh6 (GGA-PBE)

Data for an optimized crystal structure of Sm3As5Rh6.

Cell and atoms, written as POSCAR:
```
Sm3As5Rh6
1.0
4.0336 0.0000 0.0000
0.0000 12.7206 0.0000
0.0000 0.0000 9.9058
Sm As Rh
6 10 12
direct
0.2500 0.0888 0.2462 Sm
0.2500 0.4112 0.2462 Sm
0.2500 0.7500 0.2621 Sm
0.7500 0.2500 0.7379 Sm
0.7500 0.5888 0.7538 Sm
0.7500 0.9112 0.7538 Sm
0.2500 0.0791 0.8452 As
0.2500 0.4209 0.8452 As
0.2500 0.6307 0.5315 As
0.2500 0.7500 0.8619 As
0.2500 0.8693 0.5315 As
0.7500 0.1307 0.4685 As
0.7500 0.2500 0.1381 As
0.7500 0.3693 0.4685 As
0.7500 0.5791 0.1548 As
0.7500 0.9209 0.1548 As
0.2500 0.0549 0.5970 Rh
0.2500 0.2500 0.4862 Rh
0.2500 0.2500 0.9867 Rh
0.2500 0.4451 0.5970 Rh
0.2500 0.5825 0.0094 Rh
0.2500 0.9175 0.0094 Rh
0.7500 0.0825 0.9906 Rh
0.7500 0.4175 0.9906 Rh
0.7500 0.5549 0.4030 Rh
0.7500 0.7500 0.0133 Rh
0.7500 0.7500 0.5138 Rh
0.7500 0.9451 0.4030 Rh
```

## Properties
* energy relative to the elements: -21.79 kcal/mol of atoms
* symmetry: Pmmn, No. 59
* VASP energy: -6.7674 eV per atom